1:
Density functional theory data (PBE+U) for an optimized crystal structure of MnNiBi2O6.

Calculated values
SG = No. 14
crystal system = monoclinic
V = 239 Å³/cell

Cell lengths 5.420, 5.691, 9.447 Å; angles 90.00, 124.75, 90.00 degrees
Positions (direct):
Mn  0.000  0.000  0.000
Mn  0.000  0.500  0.500
Ni  0.500  0.000  0.500
Ni  0.500  0.500  0.000
Bi  0.264  0.058  0.754
Bi  0.264  0.442  0.254
Bi  0.736  0.558  0.746
Bi  0.736  0.942  0.246
O  0.152  0.029  0.242
O  0.152  0.471  0.742
O  0.238  0.714  0.048
O  0.238  0.786  0.548
O  0.335  0.190  0.039
O  0.335  0.310  0.539
O  0.665  0.690  0.461
O  0.665  0.810  0.961
O  0.762  0.214  0.452
O  0.762  0.286  0.952
O  0.848  0.529  0.258
O  0.848  0.971  0.758

---

2:
Density functional theory data (PBE+U) for an optimized crystal structure of MnNiBi2O6.

Calculated values
SG = No. 15
crystal system = monoclinic
V = 243 Å³/cell

Cell lengths 5.520, 5.520, 9.700 Å; angles 105.41, 105.41, 59.57 degrees
Positions (direct):
Mn  0.000  0.500  0.000
Mn  0.500  0.000  0.500
Ni  0.233  0.767  0.750
Ni  0.767  0.233  0.250
Bi  0.093  0.642  0.377
Bi  0.358  0.907  0.123
Bi  0.642  0.093  0.877
Bi  0.907  0.358  0.623
O  0.103  0.718  0.919
O  0.115  0.191  0.840
O  0.191  0.115  0.340
O  0.282  0.897  0.581
O  0.302  0.380  0.612
O  0.380  0.302  0.112
O  0.620  0.698  0.888
O  0.698  0.620  0.388
O  0.718  0.103  0.419
O  0.809  0.885  0.660
O  0.885  0.809  0.160
O  0.897  0.282  0.081

---

Which of them is the most stable? Correct choice: 1.

---

1:
Density functional theory data (PBE+U) for an optimized crystal structure of Mn2BiO6.

Calculated values
SG = No. 147
DOS(E_F) = 3.99 states/eV/cell
crystal system = trigonal
V = 100 Å³/cell

Cell lengths 6.347, 6.347, 2.868 Å; angles 90.00, 90.00, 120.00 degrees
Positions (direct):
Mn  0.333  0.667  0.240
Mn  0.667  0.333  0.760
Bi  0.000  0.000  0.500
O  0.155  0.735  0.735
O  0.265  0.420  0.735
O  0.420  0.155  0.265
O  0.580  0.845  0.735
O  0.735  0.580  0.265
O  0.845  0.265  0.265

---

2:
Density functional theory data (PBE+U) for an optimized crystal structure of Mn2BiO6.

Calculated values
SG = No. 162
DOS(E_F) = 2.34 states/eV/cell
crystal system = trigonal
V = 105 Å³/cell

Cell lengths 5.049, 5.049, 4.762 Å; angles 90.00, 90.00, 120.00 degrees
Positions (direct):
Mn  0.333  0.667  0.000
Mn  0.667  0.333  0.000
Bi  0.000  0.000  0.500
O  0.000  0.371  0.222
O  0.000  0.629  0.778
O  0.371  0.000  0.222
O  0.371  0.371  0.778
O  0.629  0.000  0.778
O  0.629  0.629  0.222

---

Which of them is the most stable? Correct choice: 2.

---

1:
Density functional theory data (PBE+U) for an optimized crystal structure of Mn3BiO8.

Calculated values
SG = No. 212
crystal system = cubic
V = 642 Å³/cell

Cell lengths 8.626, 8.626, 8.626 Å; angles 90.00, 90.00, 90.00 degrees
Positions (direct):
Mn  0.100  0.150  0.625
Mn  0.125  0.400  0.850
Mn  0.150  0.625  0.100
Mn  0.350  0.375  0.600
Mn  0.375  0.600  0.350
Mn  0.400  0.850  0.125
Mn  0.600  0.350  0.375
Mn  0.625  0.100  0.150
Mn  0.650  0.875  0.900
Mn  0.850  0.125  0.400
Mn  0.875  0.900  0.650
Mn  0.900  0.650  0.875
Bi  0.125  0.875  0.375
Bi  0.375  0.125  0.875
Bi  0.625  0.625  0.625
Bi  0.875  0.375  0.125
O  0.074  0.137  0.402
O  0.098  0.926  0.637
O  0.113  0.176  0.848
O  0.124  0.624  0.876
O  0.126  0.374  0.626
O  0.137  0.402  0.074
O  0.152  0.613  0.324
O  0.176  0.848  0.113
O  0.324  0.152  0.613
O  0.348  0.387  0.824
O  0.363  0.598  0.574
O  0.374  0.626  0.126
O  0.376  0.376  0.376
O  0.387  0.824  0.348
O  0.402  0.074  0.137
O  0.426  0.863  0.902
O  0.574  0.363  0.598
O  0.598  0.574  0.363
O  0.613  0.324  0.152
O  0.624  0.876  0.124
O  0.626  0.126  0.374
O  0.637  0.098  0.926
O  0.652  0.887  0.676
O  0.676  0.652  0.887
O  0.824  0.348  0.387
O  0.848  0.113  0.176
O  0.863  0.902  0.426
O  0.874  0.874  0.874
O  0.876  0.124  0.624
O  0.887  0.676  0.652
O  0.902  0.426  0.863
O  0.926  0.637  0.098

---

2:
Density functional theory data (PBE+U) for an optimized crystal structure of Mn3BiO8.

Calculated values
SG = No. 166
DOS(E_F) = 0.34 states/eV/cell
crystal system = trigonal
V = 161 Å³/cell

Cell lengths 6.456, 6.456, 6.456 Å; angles 53.50, 53.50, 53.50 degrees
Positions (direct):
Mn  0.000  0.500  0.500
Mn  0.500  0.000  0.500
Mn  0.500  0.500  0.000
Bi  0.500  0.500  0.500
O  0.243  0.243  0.708
O  0.243  0.708  0.243
O  0.273  0.273  0.273
O  0.292  0.757  0.757
O  0.708  0.243  0.243
O  0.727  0.727  0.727
O  0.757  0.292  0.757
O  0.757  0.757  0.292

---

Which of them is the most stable? Correct choice: 1.

---

1:
Density functional theory data (PBE+U) for an optimized crystal structure of Mn3BiO.

Calculated values
SG = No. 221
DOS(E_F) = 2.96 states/eV/cell
crystal system = cubic
V = 94 Å³/cell

Cell lengths 4.544, 4.544, 4.544 Å; angles 90.00, 90.00, 90.00 degrees
Positions (direct):
Mn  0.000  0.000  0.500
Mn  0.000  0.500  0.000
Mn  0.500  0.000  0.000
Bi  0.500  0.500  0.500
O  0.000  0.000  0.000

---

2:
Density functional theory data (PBE+U) for an optimized crystal structure of Mn3BiO.

Calculated values
SG = No. 221
DOS(E_F) = 2.90 states/eV/cell
crystal system = cubic
V = 156 Å³/cell

Cell lengths 5.384, 5.384, 5.384 Å; angles 90.00, 90.00, 90.00 degrees
Positions (direct):
Mn  0.000  0.000  0.500
Mn  0.000  0.500  0.000
Mn  0.500  0.000  0.000
Bi  0.000  0.000  0.000
O  0.500  0.500  0.500

---

Which of them is the most stable? Correct choice: 1.

---

1:
Density functional theory data (PBE+U) for an optimized crystal structure of MnBiP2O.

Calculated values
SG = No. 123
DOS(E_F) = 2.47 states/eV/cell
crystal system = tetragonal
V = 117 Å³/cell

Cell lengths 5.291, 5.291, 4.162 Å; angles 90.00, 90.00, 90.00 degrees
Positions (direct):
Mn  0.000  0.000  0.000
Bi  0.500  0.500  0.500
P  0.000  0.500  0.500
P  0.500  0.000  0.500
O  0.500  0.500  0.000

---

2:
Density functional theory data (PBE+U) for an optimized crystal structure of MnBiP2O.

Calculated values
SG = No. 123
DOS(E_F) = 2.59 states/eV/cell
crystal system = tetragonal
V = 90 Å³/cell

Cell lengths 4.957, 4.957, 3.680 Å; angles 90.00, 90.00, 90.00 degrees
Positions (direct):
Mn  0.000  0.000  0.000
Bi  0.500  0.500  0.500
P  0.000  0.500  0.000
P  0.500  0.000  0.000
O  0.000  0.000  0.500

---

Which of them is the most stable? Correct choice: 2.

---

1:
Density functional theory data (PBE+U) for an optimized crystal structure of ScMnBi2O6.

Calculated values
SG = No. 1
DOS(E_F) = 0.00 states/eV/cell
crystal system = triclinic
V = 131 Å³/cell

Cell lengths 5.652, 5.659, 5.725 Å; angles 60.55, 60.52, 60.09 degrees
Positions (direct):
Sc  0.000  0.000  0.000
Mn  0.508  0.508  0.477
Bi  0.220  0.223  0.339
Bi  0.724  0.724  0.829
O  0.187  0.339  0.693
O  0.291  0.825  0.206
O  0.339  0.781  0.691
O  0.675  0.290  0.206
O  0.778  0.186  0.692
O  0.827  0.675  0.207

---

2:
Density functional theory data (PBE+U) for an optimized crystal structure of ScMnBi2O6.

Calculated values
SG = No. 15
crystal system = monoclinic
V = 269 Å³/cell

Cell lengths 5.672, 5.672, 9.923 Å; angles 105.06, 105.06, 62.17 degrees
Positions (direct):
Sc  0.219  0.781  0.750
Sc  0.781  0.219  0.250
Mn  0.000  0.500  0.000
Mn  0.500  0.000  0.500
Bi  0.080  0.649  0.379
Bi  0.351  0.920  0.121
Bi  0.649  0.080  0.879
Bi  0.920  0.351  0.621
O  0.075  0.741  0.917
O  0.092  0.216  0.836
O  0.216  0.092  0.336
O  0.259  0.925  0.583
O  0.270  0.421  0.618
O  0.421  0.270  0.118
O  0.579  0.730  0.882
O  0.730  0.579  0.382
O  0.741  0.075  0.417
O  0.784  0.908  0.664
O  0.908  0.784  0.164
O  0.925  0.259  0.083

---

Which of them is the most stable? Correct choice: 2.